Below is a relaxed Co2Ge2Pd crystal, with properties calculated at the PBE level. Values from VASP.

Properties
Density of states at the Fermi level: 0.6004 states/eV/atom
Energy relative to the elements: -0.2277 eV/atom
Relative energy among the computed polymorphs: 0 meV/atom
SG: No. 127

Cell and atoms, written as Quantum ESPRESSO input:
```
&SYSTEM
  ibrav = 0, nat = 10, ntyp = 3
/
ATOMIC_SPECIES
Co 58.93 Co.upf
Ge 72.64 Ge.upf
Pd 106.42 Pd.upf
CELL_PARAMETERS angstrom
6.881 0.000 0.000
0.000 6.881 0.000
0.000 0.000 2.759
ATOMIC_POSITIONS crystal
Co 0.361 0.139 0.500
Ge 0.844 0.656 0.000
Ge 0.344 0.844 0.000
Ge 0.656 0.156 0.000
Ge 0.156 0.344 0.000
Co 0.139 0.639 0.500
Co 0.861 0.361 0.500
Pd 0.000 0.000 0.000
Pd 0.500 0.500 0.000
Co 0.639 0.861 0.500
```